Here is a relaxed TiAl6Zn crystal from Alexandria. Energies are from PBE-GGA.

Results
Its total energy is -32.85 eV per formula unit.

Cell and atoms, written as CIF:
```
data_TiAl6Zn
_space_group_name_H-M_alt 'P 4/m m m'
_space_group_IT_number 123
_space_group_name_Hall '-P 4 2'
_cell_length_a 5.7458
_cell_length_b 5.7458
_cell_length_c 3.9239
_cell_angle_alpha 90.00
_cell_angle_beta 90.00
_cell_angle_gamma 90.00
loop_
_atom_site_label
_atom_site_type_symbol
_atom_site_fract_x
_atom_site_fract_y
_atom_site_fract_z
_atom_site_occupancy
Ti1 Ti 0.0000 0.0000 0.0000 1
Al1 Al 0.0000 0.5000 0.0000 1
Al2 Al 0.2493 0.2493 0.5000 1
Zn1 Zn 0.5000 0.5000 0.0000 1
```